# SrTcOs2 GGA-PBE relaxed
data_SrTcOs2
_chemical_formula_sum 'Sr2 Tc2 Os4'
_cell_length_a 9.1287
_cell_length_b 2.8778
_cell_length_c 6.2160
_cell_angle_alpha 90.00
_cell_angle_beta 100.41
_cell_angle_gamma 90.00
_symmetry_space_group_name_H-M 'C 1 2/m 1'
_symmetry_Int_Tables_number 12
_symmetry_space_group_name_Hall '-C 2y'
loop_
_atom_site_label
_atom_site_type_symbol
_atom_site_fract_x
_atom_site_fract_y
_atom_site_fract_z
_atom_site_occupancy
Sr1 Sr 0.0000 0.0000 0.0000 1
Tc1 Tc 0.0000 0.5000 0.5000 1
Os1 Os 0.2291 0.0000 0.6593 1
# DOS(E_F)	9.6	states/eV/cell
# calculated formation energy	0.72	eV/atom
# electronic total energy	-7.907	eV per atom